Density functional theory data (GGA-PBEsol) for a relaxed CaBeTlBr2 crystal. Values from VASP.

The structure in Quantum ESPRESSO input format:
```
&SYSTEM
  ibrav = 0, nat = 5, ntyp = 4
/
ATOMIC_SPECIES
Ca 40.08 Ca.upf
Be 9.01 Be.upf
Tl 204.38 Tl.upf
Br 79.90 Br.upf
CELL_PARAMETERS angstrom
4.7217 0.0000 0.0000
0.0000 4.7217 0.0000
0.0000 0.0000 6.0750
ATOMIC_POSITIONS angstrom
Ca 0.0000 0.0000 3.0375
Be 0.0000 0.0000 0.0000
Tl 2.3608 2.3608 3.0375
Br 0.0000 2.3608 0.0000
Br 2.3608 0.0000 0.0000
```

Results
The total energy is -13.16 eV/cell. For the density, the calculation gives 5.1 g/cm3. The value obtained for the spin magnetization is 0.000 μB/atom.

=====

Density functional theory data (GGA-PBEsol) for a relaxed InTe5Pb4 crystal. Values from VASP.

The structure in Quantum ESPRESSO input format:
```
&SYSTEM
  ibrav = 0, nat = 10, ntyp = 3
/
ATOMIC_SPECIES
Pb 207.20 Pb.upf
In 114.82 In.upf
Te 127.60 Te.upf
CELL_PARAMETERS angstrom
-2.5654 -2.1849 2.9899
-2.4159 -1.7690 -3.3658
12.4669 -10.5360 -0.3962
ATOMIC_POSITIONS angstrom
Pb -0.4862 -4.4912 -0.3053
Pb 3.9635 -4.9713 -0.2321
Pb 7.9717 -9.9987 -0.4668
Pb 3.5220 -9.5186 -0.5400
In 0.0000 0.0000 0.0000
Te 1.5077 -6.9920 -0.4221
Te 5.9778 -7.4979 -0.3501
Te 5.5290 -12.0359 -0.6576
Te 1.9565 -2.4540 -0.1146
Te -2.4907 -1.9770 -0.1879
```

Results
The total energy is -39.97 eV/cell. For the density, the calculation gives 8.1 g/cm3. The value obtained for the spin magnetization is 0.000 μB/atom. The value obtained for the energy above the lowest structure with this stoichiometry is 0.00 eV/f.u.

=====

Density functional theory data (GGA-PBEsol) for a relaxed MgMnNi2 crystal. Values from VASP.

The structure in Quantum ESPRESSO input format:
```
&SYSTEM
  ibrav = 0, nat = 4, ntyp = 3
/
ATOMIC_SPECIES
Ni 58.69 Ni.upf
Mg 24.30 Mg.upf
Mn 54.94 Mn.upf
CELL_PARAMETERS angstrom
3.0689 0.0000 0.0000
0.0000 3.9688 0.0000
-1.5344 -1.9844 4.0885
ATOMIC_POSITIONS angstrom
Ni 1.5344 0.0000 1.9793
Ni 1.5344 1.9844 4.0842
Mg 0.0000 0.0000 4.0529
Mn 0.0000 1.9844 2.1491
```

Results
As for the formation energy: 0.062 eV/atom. The total energy is -23.54 eV/cell. For the density, the calculation gives 6.6 g/cm3. The value obtained for the spin magnetization is 1.054 μB/atom.

=====

Density functional theory data (GGA-PBEsol) for a relaxed SiAgP2 crystal. Values from VASP.

The structure in Quantum ESPRESSO input format:
```
&SYSTEM
  ibrav = 0, nat = 4, ntyp = 3
/
ATOMIC_SPECIES
P 30.97 P.upf
Si 28.09 Si.upf
Ag 107.87 Ag.upf
CELL_PARAMETERS angstrom
-2.5265 0.8887 -2.2560
-1.4444 -3.3348 0.3040
-2.8424 1.5780 3.8048
ATOMIC_POSITIONS angstrom
P 0.0000 0.0000 0.0000
P -2.6844 1.2333 0.7744
Si -1.9855 -1.2230 -0.9760
Ag -2.1434 -0.8784 2.0544
```

Results
The total energy is -18.54 eV/cell. For the density, the calculation gives 5.1 g/cm3. The value obtained for the spin magnetization is 0.000 μB/atom.

=====

Density functional theory data (GGA-PBEsol) for a relaxed Zn2CuSnN crystal. Values from VASP.

The structure in Quantum ESPRESSO input format:
```
&SYSTEM
  ibrav = 0, nat = 5, ntyp = 4
/
ATOMIC_SPECIES
Cu 63.55 Cu.upf
Sn 118.71 Sn.upf
Zn 65.41 Zn.upf
N 14.01 N.upf
CELL_PARAMETERS angstrom
3.8874 0.0000 0.0000
0.0000 3.8874 0.0000
0.0000 0.0000 5.2270
ATOMIC_POSITIONS angstrom
Cu 1.9437 1.9437 2.6135
Sn 0.0000 0.0000 2.6135
Zn 1.9437 0.0000 0.0000
Zn 0.0000 1.9437 0.0000
N 0.0000 0.0000 0.0000
```

Results
The total energy is -18.33 eV/cell. For the density, the calculation gives 6.9 g/cm3. The value obtained for the spin magnetization is 0.000 μB/atom.

=====

Density functional theory data (GGA-PBEsol) for a relaxed Ni2IF crystal. Values from VASP.

The structure in Quantum ESPRESSO input format:
```
&SYSTEM
  ibrav = 0, nat = 4, ntyp = 3
/
ATOMIC_SPECIES
Ni 58.69 Ni.upf
I 126.90 I.upf
F 19.00 F.upf
CELL_PARAMETERS angstrom
4.2272 0.0000 0.0000
2.1136 3.6609 0.0000
2.1136 1.2203 3.4515
ATOMIC_POSITIONS angstrom
Ni 6.3409 3.6609 2.5886
Ni 2.1136 1.2203 0.8629
I 4.2272 2.4406 1.7258
F 0.0000 0.0000 0.0000
```

Results
The total energy is -16.19 eV/cell. For the density, the calculation gives 8.2 g/cm3. The value obtained for the spin magnetization is 0.006 μB/atom.

=====

Density functional theory data (GGA-PBEsol) for a relaxed MnHgTe2 crystal. Values from VASP.

The structure in Quantum ESPRESSO input format:
```
&SYSTEM
  ibrav = 0, nat = 4, ntyp = 3
/
ATOMIC_SPECIES
Te 127.60 Te.upf
Hg 200.59 Hg.upf
Mn 54.94 Mn.upf
CELL_PARAMETERS angstrom
-1.7767 -2.1793 2.5797
1.0985 -3.6166 0.5235
4.8377 0.3954 6.4880
ATOMIC_POSITIONS angstrom
Te 0.7598 -1.4789 2.0961
Te 3.3998 -3.9216 7.4950
Hg 2.0798 -2.7002 4.7956
Mn 0.0000 0.0000 0.0000
```

Results
The total energy is -17.71 eV/cell. For the density, the calculation gives 8.6 g/cm3. The value obtained for the spin magnetization is 0.788 μB/atom.

=====

Density functional theory data (GGA-PBEsol) for a relaxed Y2Al2In crystal. Values from VASP.

The structure in Quantum ESPRESSO input format:
```
&SYSTEM
  ibrav = 0, nat = 10, ntyp = 3
/
ATOMIC_SPECIES
In 114.82 In.upf
Y 88.91 Y.upf
Al 26.98 Al.upf
CELL_PARAMETERS angstrom
-1.3838 -2.4063 -3.5539
6.0686 1.5690 -3.4253
3.0643 -5.8337 2.7568
ATOMIC_POSITIONS angstrom
In 0.0000 0.0000 0.0000
In 4.5664 -2.1324 -0.3343
Y 2.3917 -4.8445 -0.5122
Y 1.8320 -1.6762 -2.4394
Y 5.9171 -4.9948 -1.7830
Y 5.3573 -1.8265 -3.7103
Al 4.2065 0.2371 -1.7984
Al 4.9263 -4.5018 1.1299
Al 7.2151 -2.2980 -1.2534
Al 1.9178 -1.9667 0.5849
```

Results
As for the formation energy: -0.507 eV/atom. The total energy is -54.69 eV/cell. For the density, the calculation gives 5.0 g/cm3. The value obtained for the spin magnetization is 0.000 μB/atom.